Record 1
Y2AlRh | PBE | relaxed

```
Y2AlRh
1.0
-1.7047 -4.3488 1.3789
1.8502 -4.0669 -1.9382
2.7658 -2.9510 2.7132
Al Y Rh
1 2 1
Cartesian
1.4557 -5.6833 1.0769
0.0000 0.0000 0.0000
0.7278 -2.8417 0.5385
2.1835 -8.5250 1.6154
```



Record 2
YAl2Rh | PBE | relaxed

```
YAl2Rh
1.0
-1.2442 -0.6237 4.2741
3.1293 0.0685 0.9210
0.6229 5.1781 0.9370
Y Rh Al
1 1 2
Cartesian
2.1920 3.6230 3.5305
0.3159 0.9998 2.6015
0.4416 0.1387 0.1488
1.4345 2.4846 0.7802
```

The density of states at the Fermi level is 0.466 states/eV per atom.



Record 3
Y2AlRh | PBE | relaxed

```
Y2AlRh
1.0
6.4387 -0.0457 -0.0286
4.9742 4.0886 -0.0286
4.9742 1.7621 3.6895
Rh Y Al
1 2 1
Cartesian
13.0698 4.6298 2.8970
0.4946 0.1752 0.1096
3.5816 1.2687 0.7939
7.4345 2.6336 1.6479
```

The density of states at the Fermi level is 1.498 states/eV per atom.



Record 4
Y2AlRh | PBE | relaxed

```
Y2AlRh
1.0
-4.3790 0.7272 -3.5688
-0.5293 -3.8152 -4.1958
0.7343 -0.1570 5.6460
Y Al Rh
2 1 1
Cartesian
-1.1246 -2.7581 -1.2160
0.0000 0.0000 0.0000
-2.4541 -1.5440 -3.8823
-3.0494 -0.4869 -0.9025
```

The density of states at the Fermi level is 0.871 states/eV per atom.



Record 5
YAl2Rh | PBE | relaxed

```
YAl2Rh
1.0
4.2172 0.0060 -0.0116
2.1066 3.6533 -0.0116
2.1155 1.2241 5.0826
Y Rh Al
1 1 2
Cartesian
2.1098 1.2209 1.2648
6.3295 3.6626 3.7945
4.2198 2.4418 3.1580
2.1153 1.2241 4.4542
```

The density of states at the Fermi level is 0.739 states/eV per atom.



Record 6
Y2AlRh2 | PBE | relaxed

```
Y2AlRh2
1.0
3.6782 0.0000 0.0000
0.0000 3.6782 0.0000
1.8391 1.8391 8.4135
Al Y Rh
1 2 2
Cartesian
0.0000 0.0000 0.0000
3.6782 3.6782 6.4548
1.8391 1.8391 1.9588
3.6782 1.8391 4.2068
1.8391 3.6782 4.2068
```

The density of states at the Fermi level is 0.986 states/eV per atom.



Record 7
Y2AlRh | PBE | relaxed

```
Y2AlRh
1.0
-0.8583 2.5766 -1.8359
0.8119 -1.6591 -2.7082
-7.7886 -2.9643 -0.5191
Y Al Rh
2 1 1
Cartesian
-2.3554 -0.4289 -2.4274
-7.2720 -2.7676 -0.4846
-4.3554 -1.6576 -0.2903
-5.5352 -1.6390 -2.6394
```

The density of states at the Fermi level is 0.994 states/eV per atom.



Record 8
Y2AlRh | PBE | relaxed

```
Y2AlRh
1.0
-0.0322 -6.2303 5.5809
3.5276 -6.2197 4.3400
2.4622 -3.8039 7.0308
Rh Al Y
1 1 2
Cartesian
4.4682 -12.1904 12.7138
1.4894 -4.0635 4.2379
0.0689 -0.1879 0.1960
2.9099 -7.9390 8.2799
```

The density of states at the Fermi level is 0.726 states/eV per atom.



Record 9
Y2Al8Rh | PBE | relaxed

```
Y2Al8Rh
1.0
-1.7984 -3.7500 -1.0144
1.9797 -1.8465 3.3163
-8.7339 2.4146 6.5582
Al Rh Y
8 1 2
Cartesian
-3.3771 0.2841 4.9372
-6.6906 1.2001 7.4253
-5.9703 -1.1226 5.7020
-5.2662 -0.6677 2.7719
-2.5824 -2.0593 3.1581
-8.5796 0.2483 5.2599
-1.9527 -1.5838 0.2838
-0.0637 -0.6320 2.4492
0.0000 0.0000 0.0000
-6.0257 1.6659 4.5246
-2.7082 0.7487 2.0335
```

The density of states at the Fermi level is 0.444 states/eV per atom.



Record 10
Y3Al3Rh2 | PBE | relaxed

```
Y3Al3Rh2
1.0
-1.9538 -1.5455 5.2190
-6.7343 -2.0512 -3.1285
5.2968 -14.0631 -2.1814
Rh Y Al
8 12 12
Cartesian
-0.0059 -9.8687 -0.5513
-2.9028 -10.5223 -3.3718
-2.0039 -3.1142 3.9049
-3.3854 -7.7911 0.4604
1.5095 -13.8920 -1.1754
-1.3874 -14.5456 -3.9958
-4.9007 -3.7678 1.0844
-0.4885 -7.1375 3.2809
-6.7114 -4.1223 -1.2254
-2.0949 -11.0296 1.6616
-2.7918 -2.6598 -1.1367
3.3201 -13.5374 1.1344
-2.1622 -5.1725 1.6694
-0.5994 -14.9999 1.0457
-1.2291 -12.4873 -1.7603
1.8247 -9.5671 1.7503
2.6231 -11.0780 -1.4919
-1.2964 -6.6301 -1.7525
-6.0144 -6.5818 1.4010
-5.2160 -8.0927 -1.8412
-3.2793 -13.5941 0.3971
-0.1581 -15.5522 -2.0656
1.5455 -8.0151 -1.1897
3.8169 -14.0458 -2.1251
-0.1120 -4.0656 -0.4880
-0.9617 -8.1383 1.0393
-3.9940 -5.4984 -0.6772
-2.4295 -9.5215 -1.1302
-7.2082 -3.6139 2.0342
0.6027 -12.1613 0.5863
-4.9367 -9.6447 1.0987
-3.2332 -2.1075 1.9747
```

The density of states at the Fermi level is 0.766 states/eV per atom.



Record 11
YAl2Rh | PBE | relaxed

```
YAl2Rh
1.0
4.0081 0.0000 0.0000
0.0000 4.0809 0.0000
0.0000 0.0000 4.5025
Rh Y Al
1 1 2
Cartesian
2.0041 0.0000 2.2513
0.0000 2.0405 2.2513
0.0000 0.0000 0.0000
2.0041 2.0405 0.0000
```

The density of states at the Fermi level is 0.571 states/eV per atom.



Record 12
YAlRh | PBE | relaxed

```
YAlRh
1.0
-2.4583 0.8372 3.7127
-0.7059 -3.2862 3.0383
2.0134 0.1926 4.0543
Y Al Rh
1 1 1
Cartesian
0.0000 0.0000 0.0000
-0.5754 -1.1282 5.4026
-0.8631 -1.6923 8.1040
```

The density of states at the Fermi level is 0.464 states/eV per atom.



| no. | uncorrected energy (eV/atom) | total magnetic moment (μB per atom) |
| --- | --- | --- |
| 1 | -6.45 | 0.0000 |
| 2 | -5.85 | 0.0000 |
| 3 | -6.53 | 0.0014 |
| 4 | -6.41 | 0.0000 |
| 5 | -6.05 | 0.0000 |
| 6 | -6.54 | 0.0000 |
| 7 | -6.51 | 0.0000 |
| 8 | -6.38 | 0.0000 |
| 9 | -5.11 | 0.0000 |
| 10 | -6.42 | 0.0000 |
| 11 | -5.85 | 0.0000 |
| 12 | -6.48 | 0.0000 |